Material: ScZnAs2
Method: DFT, GGA-PBE
State: relaxed

Cell: 3.9090 3.8140 5.3443 Å, 90.00 90.40 90.00°
Space group Pm (No. 6)
Unique sites:
Sc 0.0000 0.0000 0.0000 x1
Zn 0.6614 0.5000 0.5013 x1
As 0.1350 0.0000 0.5011 x1
As 0.5036 0.5000 0.0014 x1

Summary:
As for the density: 5.4 g/cm3. The formation energy is -0.549 eV per atom. The calculation puts the density of states at the Fermi level at 0.8 states/eV/cell. The calculation puts the volume at 19.92 Å³ per atom. The value obtained for the uncorrected energy is -4.775 eV per atom.

Material: Ba2AlZn4Sn3
Method: DFT, GGA-PBE
State: relaxed

Cell: 4.7089 4.7089 11.4057 Å, 90.00 90.00 90.00°
Space group P-4m2 (No. 115)
Unique sites:
Ba 0.0000 0.5000 0.2446 x2
Al 0.0000 0.0000 0.5000 x1
Zn 0.0000 0.0000 0.0000 x1
Zn 0.0000 0.5000 0.6296 x2
Zn 0.5000 0.5000 0.0000 x1
Sn 0.0000 0.5000 0.8696 x2
Sn 0.5000 0.5000 0.5000 x1

Summary:
As for the density: 6.0 g/cm3. The formation energy is -0.369 eV per atom. The calculation puts the density of states at the Fermi level at 2.3 states/eV/cell. The calculation puts the volume at 25.29 Å³ per atom. The value obtained for the uncorrected energy is -2.838 eV per atom.

Material: GdErSn
Method: DFT, GGA-PBE
State: relaxed

Cell: 3.5517 3.5517 13.6977 Å, 90.00 90.00 90.00°
Space group I4mm (No. 107)
Unique sites:
Gd 0.0000 0.0000 0.0000 x2
Er 0.0000 0.0000 0.3069 x2
Sn 0.0000 0.0000 0.6566 x2

Summary:
As for the density: 8.5 g/cm3. The formation energy is -0.430 eV per atom. The calculation puts the offset from the most stable computed form at 0.000 eV per atom. The calculation puts the density of states at the Fermi level at 6.0 states/eV/cell. The calculation puts the volume at 28.80 Å³ per atom. The value obtained for the uncorrected energy is -7.979 eV per atom.

Material: NaReH4
Method: DFT, GGA-PBE
State: relaxed

Cell: 11.3007 5.1611 4.3279 Å, 90.00 90.79 90.00°
Space group C2/m (No. 12)
Unique sites:
Na 0.1462 0.0000 0.2018 x4
Re 0.0538 0.5000 0.7529 x4
H 0.0000 0.2374 0.5000 x4
H 0.1043 0.5000 0.1787 x4
H 0.1711 0.2924 0.7577 x8

Summary:
As for the density: 5.6 g/cm3. The calculation puts the volume at 10.52 Å³ per atom. The value obtained for the uncorrected energy is -4.566 eV per atom.

Material: GaCu2Pd7
Method: DFT, GGA-PBE
State: relaxed

Cell: 7.2568 12.2494 4.2537 Å, 90.00 90.00 90.00°
Space group Cmmm (No. 65)
Unique sites:
Ga 0.0000 0.0000 0.0000 x2
Cu 0.0000 0.2996 0.5000 x4
Pd 0.0000 0.2004 0.0000 x4
Pd 0.0000 0.5000 0.5000 x2
Pd 0.1862 0.1109 0.5000 x8

Summary:
As for the density: 8.3 g/cm3. The formation energy is 0.288 eV per atom. The calculation puts the density of states at the Fermi level at 29.5 states/eV/cell. The calculation puts the volume at 18.91 Å³ per atom. The value obtained for the uncorrected energy is -4.469 eV per atom.

Material: BaNa2MnCl8
Method: DFT, GGA-PBE
State: relaxed

Cell: 5.9398 8.6403 6.9828 Å, 90.00 111.44 90.00°
Space group P2/m (No. 10)
Unique sites:
Ba 0.0000 0.0000 0.0000 x1
Na 0.0000 0.2517 0.5000 x2
Mn 0.0000 0.5000 0.0000 x1
Cl 0.2176 0.5000 0.7919 x2
Cl 0.2464 0.3121 0.2081 x4
Cl 0.2817 0.0000 0.7105 x2

Summary:
As for the density: 2.6 g/cm3. The formation energy from raw total energies is -147.6 kJ per mole of atoms. The calculation puts the volume at 27.80 Å³ per atom. The value obtained for the uncorrected energy is -3.905 eV per atom.

- Number 5 is which compound?
  GaCu2Pd7

- What is the density in the second record?
  6.0 g/cm3

- What is the density in the fifth record?
  8.3 g/cm3

- Which of these has the lowest volume?
  NaReH4